# PBE-GGA Mn3VSe, optimized geometry
# N(E_F): 1.199 states/eV per atom
# SG: No. 221
# Raw total energy: -7.0987 eV/atom
# Energy relative to the lowest polymorph listed for this composition: 12 meV per atom
# Magnetic moment: 11.8 μB per formula unit
data_Mn3VSe
_cell_length_a 4.494
_cell_length_b 4.494
_cell_length_c 4.494
_cell_angle_alpha 90.00
_cell_angle_beta 90.00
_cell_angle_gamma 90.00
_space_group_name_H-M_alt 'P 1'
_space_group_IT_number 1
loop_
_space_group_symop_operation_xyz
'x,y,z'
loop_
_atom_site_label
_atom_site_fract_x
_atom_site_fract_y
_atom_site_fract_z
Mn1 0.000 0.000 0.500
Mn2 0.000 0.500 0.000
Mn3 0.500 0.000 0.000
V1 0.500 0.500 0.500
Se1 0.000 0.000 0.000